The following is a DFT calculation (PBE-GGA) of Zn5Pt after structural relaxation.

a = 2.822 Å, b = 2.822 Å, c = 11.351 Å
α = 90.00°, β = 90.00°, γ = 90.00°
Positions (direct):
Zn 0.000 0.000 0.000
Zn 0.000 0.000 0.341
Zn 0.000 0.000 0.659
Zn 0.500 0.500 0.167
Zn 0.500 0.500 0.833
Pt 0.500 0.500 0.500

Results
Energy of formation from the pure elements ... -0.9 eV/f.u.
Magnetic moment ... 0.0 μB/f.u.
E ... -13.31 eV per cell
Calculated volume ... 15.066 Å³/atom